Compound: Ac3Pr4Tm2
Source: Alexandria
Functional: GGA-PBE
Structure: relaxed

a = 8.4352 Å, b = 8.4352 Å, c = 8.4431 Å
α = 107.78°, β = 107.78°, γ = 36.46°
Sites, in units of the cell vectors:
Ac  0.0000  0.0000  0.0000
Ac  0.1142  0.1142  0.6690
Ac  0.8858  0.8858  0.3310
Pr  0.2200  0.2200  0.3264
Pr  0.4426  0.4426  0.6697
Pr  0.5574  0.5574  0.3303
Pr  0.7800  0.7800  0.6736
Tm  0.3300  0.3300  0.0003
Tm  0.6700  0.6700  0.9997

Summary:
For the total magnetization, the calculation gives 0.00 μB/f.u. For the formation enthalpy at 0 K, the calculation gives 48 meV per atom. The calculation puts the total energy at -4.44 eV per atom. The space group is C2/m. Its density is 7.77 g cm⁻³.